A plane-wave DFT calculation with PBE was carried out for an optimized crystal structure of AcSmPd.

Properties
**N(E_F)**: 2.30 states/eV/f.u.
**Formation enthalpy at 0 K**: -0.356 eV/atom

abc: 4.8802 4.8802 4.4905
angles: 90.00 90.00 120.00
Atoms (fractional coordinates):
Ac 0.0000 0.0000 0.0000
Sm 0.6667 0.3333 0.5177
Pd 0.3333 0.6667 0.3671